## one
First-principles (PBE) data for a geometry-optimized CaHgH structure, as listed in Alexandria via LeMat-Bulk.

Theoretical density ... 6.46 g/cm3
V ... 62.1 Å³/f.u.
Space group ... I4mm, No. 107

Cell lengths 3.3530, 3.3530, 11.0532 Å; angles 90.00, 90.00, 90.00 degrees
Sites, in units of the cell vectors:
Ca  0.0000  0.0000  0.0000
Ca  0.5000  0.5000  0.5000
Hg  0.0000  0.0000  0.7111
Hg  0.5000  0.5000  0.2111
H  0.0000  0.0000  0.4719
H  0.5000  0.5000  0.9719

## two
First-principles (PBE) data for a geometry-optimized CaHgH structure, as listed in Alexandria via LeMat-Bulk.

Theoretical density ... 6.63 g/cm3
V ... 60.5 Å³/f.u.
Space group ... P1, No. 1

Cell lengths 3.8238, 3.8425, 9.4195 Å; angles 89.92, 89.94, 60.98 degrees
Sites, in units of the cell vectors:
Ca  0.0000  0.0000  0.0000
Ca  0.3382  0.3462  0.2986
Hg  0.0028  0.0071  0.5339
Hg  0.6659  0.6643  0.7561
H  0.3352  0.3386  0.0521
H  0.6734  0.6848  0.1966

## three
First-principles (PBE) data for a geometry-optimized CaHgH structure, as listed in Alexandria via LeMat-Bulk.

Theoretical density ... 6.34 g/cm3
V ... 63.3 Å³/f.u.
Space group ... P3m1, No. 156

Cell lengths 3.8667, 3.8667, 4.8864 Å; angles 90.00, 90.00, 120.00 degrees
Sites, in units of the cell vectors:
Ca  0.0000  0.0000  0.0000
Hg  0.3333  0.6667  0.5003
H  0.6667  0.3333  0.0031

## four
First-principles (PBE) data for a geometry-optimized CaHgH structure, as listed in Alexandria via LeMat-Bulk.

Theoretical density ... 6.82 g/cm3
V ... 58.8 Å³/f.u.
Space group ... C2/m, No. 12

Cell lengths 12.3423, 3.7636, 5.4480 Å; angles 90.00, 111.58, 90.00 degrees
Sites, in units of the cell vectors:
Ca  0.1156  0.0000  0.3263
Ca  0.3844  0.5000  0.6737
Ca  0.6156  0.5000  0.3263
Ca  0.8844  0.0000  0.6737
Hg  0.1336  0.5000  0.8633
Hg  0.3664  0.0000  0.1367
Hg  0.6336  0.0000  0.8633
Hg  0.8664  0.5000  0.1367
H  0.1892  0.5000  0.5402
H  0.3108  0.0000  0.4598
H  0.6892  0.0000  0.5402
H  0.8108  0.5000  0.4598

Which structure is the least stable? The one labeled one.

## one
First-principles (PBE) data for a geometry-optimized CaHgH structure, as listed in Alexandria via LeMat-Bulk.

Theoretical density ... 6.46 g/cm3
V ... 62.1 Å³/f.u.
Space group ... R3m, No. 160

Cell lengths 3.8640, 3.8640, 14.4032 Å; angles 90.00, 90.00, 120.00 degrees
Sites, in units of the cell vectors:
Ca  0.0000  0.0000  0.0000
Ca  0.3333  0.6667  0.6667
Ca  0.6667  0.3333  0.3333
Hg  0.0000  0.0000  0.4892
Hg  0.3333  0.6667  0.1558
Hg  0.6667  0.3333  0.8225
H  0.0000  0.0000  0.6328
H  0.3333  0.6667  0.2995
H  0.6667  0.3333  0.9662

## two
First-principles (PBE) data for a geometry-optimized CaHgH structure, as listed in Alexandria via LeMat-Bulk.

Theoretical density ... 6.93 g/cm3
V ... 58.0 Å³/f.u.
Space group ... P4/nmm, No. 129

Cell lengths 3.8756, 3.8756, 7.7162 Å; angles 90.00, 90.00, 90.00 degrees
Sites, in units of the cell vectors:
Ca  0.2500  0.2500  0.1583
Ca  0.7500  0.7500  0.8417
Hg  0.2500  0.2500  0.6023
Hg  0.7500  0.7500  0.3977
H  0.2500  0.7500  0.0000
H  0.7500  0.2500  0.0000

## three
First-principles (PBE) data for a geometry-optimized CaHgH structure, as listed in Alexandria via LeMat-Bulk.

Theoretical density ... 6.34 g/cm3
V ... 63.3 Å³/f.u.
Space group ... Cm, No. 8

Cell lengths 10.0860, 10.0860, 11.5877 Å; angles 105.68, 105.68, 105.99 degrees
Sites, in units of the cell vectors:
Ca  0.0000  0.0000  0.0000
Ca  0.0430  0.5523  0.4340
Ca  0.0844  0.8276  0.2554
Ca  0.1439  0.9177  0.6717
Ca  0.2525  0.2525  0.3041
Ca  0.3574  0.6014  0.2561
Ca  0.3767  0.9012  0.0919
Ca  0.5523  0.0430  0.4340
Ca  0.6014  0.3574  0.2561
Ca  0.6261  0.8982  0.8998
Ca  0.6616  0.6616  0.0754
Ca  0.8064  0.8064  0.4097
Ca  0.8276  0.0844  0.2554
Ca  0.8982  0.6261  0.8998
Ca  0.9012  0.3767  0.0919
Ca  0.9177  0.1439  0.6717
Hg  0.1129  0.3006  0.5170
Hg  0.1239  0.3078  0.9824
Hg  0.2781  0.2781  0.7696
Hg  0.2868  0.7162  0.7654
Hg  0.2951  0.5699  0.9552
Hg  0.3006  0.1129  0.5170
Hg  0.3078  0.1239  0.9824
Hg  0.3731  0.5725  0.5331
Hg  0.4680  0.9951  0.6875
Hg  0.5285  0.5285  0.7757
Hg  0.5699  0.2951  0.9552
Hg  0.5725  0.3731  0.5331
Hg  0.6452  0.8312  0.6031
Hg  0.7162  0.2868  0.7654
Hg  0.8312  0.6452  0.6031
Hg  0.9951  0.4680  0.6875
H  0.0293  0.7720  0.4318
H  0.0460  0.0460  0.2093
H  0.1047  0.8305  0.0563
H  0.1090  0.5859  0.2599
H  0.3582  0.8418  0.2664
H  0.4118  0.4118  0.2697
H  0.5859  0.1090  0.2599
H  0.6087  0.6087  0.2419
H  0.6127  0.8839  0.0918
H  0.7720  0.0293  0.4318
H  0.8034  0.8034  0.9778
H  0.8305  0.1047  0.0563
H  0.8418  0.3582  0.2664
H  0.8531  0.8531  0.2470
H  0.8839  0.6127  0.0918
H  0.9734  0.9734  0.5810

Which structure is the least stable? The one labeled one.

## one
First-principles (PBE) data for a geometry-optimized Ca3HgH structure, as listed in Alexandria via LeMat-Bulk.

Theoretical density ... 4.33 g/cm3
V ... 123.3 Å³/f.u.
Space group ... Pm-3m, No. 221

Cell lengths 4.9778, 4.9778, 4.9778 Å; angles 90.00, 90.00, 90.00 degrees
Sites, in units of the cell vectors:
Ca  0.0000  0.0000  0.5000
Ca  0.0000  0.5000  0.0000
Ca  0.5000  0.0000  0.0000
Hg  0.5000  0.5000  0.5000
H  0.0000  0.0000  0.0000

## two
First-principles (PBE) data for a geometry-optimized Ca3HgH structure, as listed in Alexandria via LeMat-Bulk.

Theoretical density ... 3.92 g/cm3
V ... 136.3 Å³/f.u.
Space group ... Cmcm, No. 63

Cell lengths 7.3205, 7.3205, 9.8005 Å; angles 90.00, 90.00, 148.74 degrees
Sites, in units of the cell vectors:
Ca  0.0448  0.9552  0.7500
Ca  0.3588  0.6412  0.5654
Ca  0.3588  0.6412  0.9346
Ca  0.6412  0.3588  0.0654
Ca  0.6412  0.3588  0.4346
Ca  0.9552  0.0448  0.2500
Hg  0.2707  0.7293  0.2500
Hg  0.7293  0.2707  0.7500
H  0.4588  0.5412  0.7500
H  0.5412  0.4588  0.2500

Which structure is the least stable? The one labeled one.

## one
First-principles (PBE) data for a geometry-optimized Ca4HgH structure, as listed in Alexandria via LeMat-Bulk.

Theoretical density ... 3.13 g/cm3
V ... 192.0 Å³/f.u.
Space group ... I4_1/amd, No. 141

Cell lengths 7.9643, 7.9643, 7.9643 Å; angles 105.88, 105.88, 116.92 degrees
Sites, in units of the cell vectors:
Ca  0.2113  0.2723  0.5610
Ca  0.2113  0.6502  0.9390
Ca  0.2723  0.2113  0.0610
Ca  0.3498  0.7887  0.5610
Ca  0.6502  0.2113  0.4390
Ca  0.7277  0.7887  0.9390
Ca  0.7887  0.3498  0.0610
Ca  0.7887  0.7277  0.4390
Hg  0.1250  0.8750  0.2500
Hg  0.8750  0.1250  0.7500
H  0.3750  0.6250  0.7500
H  0.6250  0.3750  0.2500

## two
First-principles (PBE) data for a geometry-optimized Ca4HgH structure, as listed in Alexandria via LeMat-Bulk.

Theoretical density ... 3.23 g/cm3
V ... 186.1 Å³/f.u.
Space group ... Cmcm, No. 63

Cell lengths 6.1955, 6.1955, 9.7685 Å; angles 90.00, 90.00, 83.13 degrees
Sites, in units of the cell vectors:
Ca  0.2232  0.7768  0.5483
Ca  0.2232  0.7768  0.9517
Ca  0.2657  0.3506  0.2500
Ca  0.3506  0.2657  0.7500
Ca  0.6494  0.7343  0.2500
Ca  0.7343  0.6494  0.7500
Ca  0.7768  0.2232  0.0483
Ca  0.7768  0.2232  0.4517
Hg  0.1108  0.8892  0.2500
Hg  0.8892  0.1108  0.7500
H  0.3703  0.6297  0.7500
H  0.6297  0.3703  0.2500

Which structure is the least stable? The one labeled two.

## one
First-principles (PBE) data for a geometry-optimized Ca2HgHPd structure, as listed in Alexandria via LeMat-Bulk.

Theoretical density ... 6.53 g/cm3
V ... 98.7 Å³/f.u.
Space group ... P4/mmm, No. 123

Cell lengths 4.8127, 4.8127, 4.2632 Å; angles 90.00, 90.00, 90.00 degrees
Sites, in units of the cell vectors:
Ca  0.0000  0.5000  0.0000
Ca  0.5000  0.0000  0.0000
Hg  0.0000  0.0000  0.5000
H  0.0000  0.0000  0.0000
Pd  0.5000  0.5000  0.5000

## two
First-principles (PBE) data for a geometry-optimized Ca2HgHPd structure, as listed in Alexandria via LeMat-Bulk.

Theoretical density ... 6.51 g/cm3
V ... 99.1 Å³/f.u.
Space group ... P4/mmm, No. 123

Cell lengths 5.1120, 5.1120, 3.7911 Å; angles 90.00, 90.00, 90.00 degrees
Sites, in units of the cell vectors:
Ca  0.0000  0.5000  0.0000
Ca  0.5000  0.0000  0.0000
Hg  0.0000  0.0000  0.5000
H  0.5000  0.5000  0.0000
Pd  0.5000  0.5000  0.5000

Which structure is the least stable? The one labeled one.

## one
First-principles (PBE) data for a geometry-optimized Ca2ScHgH structure, as listed in Alexandria via LeMat-Bulk.

Theoretical density ... 3.78 g/cm3
V ... 143.7 Å³/f.u.
Space group ... P4/mmm, No. 123

Cell lengths 6.1727, 6.1727, 3.7710 Å; angles 90.00, 90.00, 90.00 degrees
Sites, in units of the cell vectors:
Ca  0.0000  0.5000  0.0000
Ca  0.5000  0.0000  0.0000
Sc  0.0000  0.0000  0.5000
Hg  0.5000  0.5000  0.0000
H  0.5000  0.5000  0.5000

## two
First-principles (PBE) data for a geometry-optimized Ca2ScHgH structure, as listed in Alexandria via LeMat-Bulk.

Theoretical density ... 4.88 g/cm3
V ... 111.2 Å³/f.u.
Space group ... P4/mmm, No. 123

Cell lengths 5.0994, 5.0994, 4.2769 Å; angles 90.00, 90.00, 90.00 degrees
Sites, in units of the cell vectors:
Ca  0.0000  0.5000  0.0000
Ca  0.5000  0.0000  0.0000
Sc  0.0000  0.0000  0.5000
Hg  0.5000  0.5000  0.5000
H  0.0000  0.0000  0.0000

Which structure is the least stable? The one labeled one.

## one
First-principles (PBE) data for a geometry-optimized CaHoH structure, as listed in Alexandria via LeMat-Bulk.

Theoretical density ... 5.09 g/cm3
V ... 67.2 Å³/f.u.
Space group ... P3m1, No. 156

Cell lengths 3.6335, 3.6335, 5.8777 Å; angles 90.00, 90.00, 120.00 degrees
Sites, in units of the cell vectors:
Ca  0.0000  0.0000  0.0000
Ho  0.3333  0.6667  0.4889
H  0.6667  0.3333  0.2806

## two
First-principles (PBE) data for a geometry-optimized CaHoH structure, as listed in Alexandria via LeMat-Bulk.

Theoretical density ... 4.65 g/cm3
V ... 73.6 Å³/f.u.
Space group ... P-1, No. 2

Cell lengths 3.6813, 5.3668, 7.4485 Å; angles 88.97, 89.90, 89.95 degrees
Sites, in units of the cell vectors:
Ca  0.2487  0.2560  0.3635
Ca  0.7513  0.7440  0.6365
Ho  0.2511  0.2624  0.8895
Ho  0.7489  0.7376  0.1105
H  0.2492  0.5150  0.1124
H  0.7508  0.4850  0.8876

Which structure is the least stable? The one labeled one.

## one
First-principles (PBE) data for a geometry-optimized CaH3I structure, as listed in Alexandria via LeMat-Bulk.

Theoretical density ... 3.68 g/cm3
V ... 76.6 Å³/f.u.
Space group ... Pm-3m, No. 221

Cell lengths 4.2476, 4.2476, 4.2476 Å; angles 90.00, 90.00, 90.00 degrees
Sites, in units of the cell vectors:
Ca  0.0000  0.0000  0.0000
H  0.0000  0.0000  0.5000
H  0.0000  0.5000  0.0000
H  0.5000  0.0000  0.0000
I  0.5000  0.5000  0.5000

## two
First-principles (PBE) data for a geometry-optimized CaH3I structure, as listed in Alexandria via LeMat-Bulk.

Theoretical density ... 3.29 g/cm3
V ... 85.8 Å³/f.u.
Space group ... Pm-3m, No. 221

Cell lengths 4.4101, 4.4101, 4.4101 Å; angles 90.00, 90.00, 90.00 degrees
Sites, in units of the cell vectors:
Ca  0.0000  0.0000  0.0000
H  0.0000  0.5000  0.5000
H  0.5000  0.0000  0.5000
H  0.5000  0.5000  0.0000
I  0.5000  0.5000  0.5000

Which structure is the least stable? The one labeled two.